{
  "formula": "RbReSb2",
  "functional": "PBE",
  "state": "optimized geometry",
  "lattice_angstrom": [[-3.5149, 3.5149, 7.0896], [3.5149, -3.5149, 7.0896], [3.5149, 3.5149, -7.0896]],
  "species": ["Rb", "Rb", "Re", "Re", "Sb", "Sb", "Sb", "Sb"],
  "fractional_positions": [[0.3750, 0.6250, 0.7500], [0.6250, 0.3750, 0.2500], [0.1250, 0.8750, 0.2500], [0.8750, 0.1250, 0.7500], [0.0000, 0.0000, 0.0000], [0.0000, 0.0000, 0.5000], [0.0000, 0.5000, 0.0000], [0.5000, 0.0000, 0.5000]],
  "relative_energy_kj_per_mol_atoms": 0.0,
  "total_energy_ev_per_atom": -5.113,
  "raw_formation_energy_mev_per_atom": 302,
  "rho_g_cm3": 4.9,
  "total_magnetization_mub_per_fu": 0.000
}



{
  "formula": "RbReSbTe2",
  "functional": "PBE",
  "state": "optimized geometry",
  "lattice_angstrom": [[5.9527, 0.0000, 0.0000], [0.0000, 5.9527, 0.0000], [0.0000, 0.0000, 5.7052]],
  "species": ["Rb", "Re", "Sb", "Te", "Te"],
  "fractional_positions": [[0.0000, 0.0000, 0.0000], [0.5000, 0.5000, 0.5000], [0.0000, 0.0000, 0.5000], [0.0000, 0.5000, 0.0000], [0.5000, 0.0000, 0.0000]],
  "relative_energy_kj_per_mol_atoms": 231.2,
  "total_energy_ev_per_atom": -2.108,
  "raw_formation_energy_mev_per_atom": 2656,
  "rho_g_cm3": 5.3,
  "total_magnetization_mub_per_fu": 0.172
}



{
  "formula": "RbReSbTe2",
  "functional": "PBE",
  "state": "optimized geometry",
  "lattice_angstrom": [[5.5729, 0.0000, 0.0000], [0.0000, 5.5729, 0.0000], [0.0000, 0.0000, 5.2023]],
  "species": ["Rb", "Re", "Sb", "Te", "Te"],
  "fractional_positions": [[0.0000, 0.0000, 0.0000], [0.5000, 0.5000, 0.5000], [0.5000, 0.5000, 0.0000], [0.0000, 0.5000, 0.5000], [0.5000, 0.0000, 0.5000]],
  "relative_energy_kj_per_mol_atoms": 0.0,
  "total_energy_ev_per_atom": -4.505,
  "raw_formation_energy_mev_per_atom": 260,
  "rho_g_cm3": 6.7,
  "total_magnetization_mub_per_fu": 1.924
}



{
  "formula": "RbReSbW2",
  "functional": "PBE",
  "state": "optimized geometry",
  "lattice_angstrom": [[4.6604, 0.0000, 0.0000], [0.0000, 4.6604, 0.0000], [0.0000, 0.0000, 5.2739]],
  "species": ["Rb", "Re", "Sb", "W", "W"],
  "fractional_positions": [[0.0000, 0.0000, 0.0000], [0.5000, 0.5000, 0.5000], [0.0000, 0.0000, 0.5000], [0.0000, 0.5000, 0.0000], [0.5000, 0.0000, 0.0000]],
  "total_energy_ev_per_atom": -4.521,
  "raw_formation_energy_mev_per_atom": 4168,
  "rho_g_cm3": 11.0,
  "total_magnetization_mub_per_fu": 0.006
}



{
  "formula": "Rb2ZnReSb",
  "functional": "PBE",
  "state": "optimized geometry",
  "lattice_angstrom": [[6.7219, 0.0000, 0.0000], [0.0000, 6.7219, 0.0000], [0.0000, 0.0000, 5.0757]],
  "species": ["Rb", "Rb", "Zn", "Re", "Sb"],
  "fractional_positions": [[0.0000, 0.5000, 0.0000], [0.5000, 0.0000, 0.0000], [0.0000, 0.0000, 0.0000], [0.5000, 0.5000, 0.5000], [0.0000, 0.0000, 0.5000]],
  "total_energy_ev_per_atom": -2.683,
  "raw_formation_energy_mev_per_atom": 1272,
  "rho_g_cm3": 3.9,
  "total_magnetization_mub_per_fu": 4.508
}



{
  "formula": "RbSc3Re",
  "functional": "PBE",
  "state": "optimized geometry",
  "lattice_angstrom": [[5.2784, 0.0000, 0.0000], [0.0000, 5.2784, 0.0000], [0.0000, 0.0000, 5.2784]],
  "species": ["Rb", "Sc", "Sc", "Sc", "Re"],
  "fractional_positions": [[0.0000, 0.0000, 0.0000], [0.0000, 0.5000, 0.5000], [0.5000, 0.0000, 0.5000], [0.5000, 0.5000, 0.0000], [0.5000, 0.5000, 0.5000]],
  "relative_energy_kj_per_mol_atoms": 0.0,
  "total_energy_ev_per_atom": -6.063,
  "rho_g_cm3": 4.6,
  "total_magnetization_mub_per_fu": 0.000,
  "formation_energy_ev_per_atom": 0.42
}